(P)
Computed, not measured: a geometry-optimized ScCuTcPb structure at the PBE level of DFT.

Geometry as extended XYZ:
```
4
Lattice="0.000 3.286 3.286 3.286 0.000 3.286 3.286 3.286 0.000" Properties=species:S:1:pos:R:3 pbc="T T T"
Sc 0.000 0.000 0.000
Cu 4.929 4.929 4.929
Tc 1.643 1.643 1.643
Pb 3.286 3.286 3.286
```

Results
Total moment ... 0.02 μB per cell

=====

(Q)
Computed, not measured: a geometry-optimized ScCuTcPb structure at the PBE level of DFT.

Geometry as extended XYZ:
```
4
Lattice="0.000 3.302 3.302 3.302 0.000 3.302 3.302 3.302 0.000" Properties=species:S:1:pos:R:3 pbc="T T T"
Sc 0.000 0.000 0.000
Cu 3.302 3.302 3.302
Tc 4.953 4.953 4.953
Pb 1.651 1.651 1.651
```

Results
Total moment ... 0.01 μB per cell

=====

Taking the most stable structure as the zero point, the relative energies in meV per atom are (P) 0; (Q) 195.

=====

(P)
Computed, not measured: a geometry-optimized ScZnCuPb structure at the PBE level of DFT.

Geometry as extended XYZ:
```
4
Lattice="0.000 3.364 3.364 3.364 0.000 3.364 3.364 3.364 0.000" Properties=species:S:1:pos:R:3 pbc="T T T"
Sc 0.000 0.000 0.000
Zn 5.046 5.046 5.046
Cu 3.364 3.364 3.364
Pb 1.682 1.682 1.682
```

Results
Total moment ... 0.00 μB per cell

=====

(Q)
Computed, not measured: a geometry-optimized ScZnCuPb structure at the PBE level of DFT.

Geometry as extended XYZ:
```
4
Lattice="0.000 3.365 3.365 3.365 0.000 3.365 3.365 3.365 0.000" Properties=species:S:1:pos:R:3 pbc="T T T"
Sc 0.000 0.000 0.000
Zn 5.047 5.047 5.047
Cu 1.682 1.682 1.682
Pb 3.365 3.365 3.365
```

Results
Total moment ... 0.00 μB per cell

=====

Taking the most stable structure as the zero point, the relative energies in meV per atom are (P) 15; (Q) 0.

=====

(P)
Computed, not measured: a geometry-optimized ZnCuTcPb structure at the PBE level of DFT.

Geometry as extended XYZ:
```
4
Lattice="0.000 3.215 3.215 3.215 0.000 3.215 3.215 3.215 0.000" Properties=species:S:1:pos:R:3 pbc="T T T"
Zn 0.000 0.000 0.000
Cu 4.823 4.823 4.823
Tc 1.608 1.608 1.608
Pb 3.215 3.215 3.215
```

Results
Total moment ... 0.00 μB per cell

=====

(Q)
Computed, not measured: a geometry-optimized ZnCuTcPb structure at the PBE level of DFT.

Geometry as extended XYZ:
```
4
Lattice="0.000 3.267 3.267 3.267 0.000 3.267 3.267 3.267 0.000" Properties=species:S:1:pos:R:3 pbc="T T T"
Zn 0.000 0.000 0.000
Cu 3.267 3.267 3.267
Tc 4.900 4.900 4.900
Pb 1.633 1.633 1.633
```

Results
Total moment ... 2.27 μB per cell

=====

Taking the most stable structure as the zero point, the relative energies in meV per atom are (P) 0; (Q) 163.

=====

(P)
Computed, not measured: a geometry-optimized ZnCuPbW structure at the PBE level of DFT.

Geometry as extended XYZ:
```
4
Lattice="0.000 3.273 3.273 3.273 0.000 3.273 3.273 3.273 0.000" Properties=species:S:1:pos:R:3 pbc="T T T"
Zn 0.000 0.000 0.000
Cu 3.273 3.273 3.273
Pb 1.637 1.637 1.637
W 4.910 4.910 4.910
```

Results
Total moment ... 1.58 μB per cell

=====

(Q)
Computed, not measured: a geometry-optimized ZnCuPbW structure at the PBE level of DFT.

Geometry as extended XYZ:
```
4
Lattice="0.000 3.271 3.271 3.271 0.000 3.271 3.271 3.271 0.000" Properties=species:S:1:pos:R:3 pbc="T T T"
Zn 0.000 0.000 0.000
Cu 4.906 4.906 4.906
Pb 3.271 3.271 3.271
W 1.635 1.635 1.635
```

Results
Total moment ... 1.15 μB per cell

=====

Taking the most stable structure as the zero point, the relative energies in meV per atom are (P) 66; (Q) 0.

=====

(P)
Computed, not measured: a geometry-optimized Zr3Cu4Pb4 structure at the PBE level of DFT.

Geometry as extended XYZ:
```
11
Lattice="6.603 0.000 0.000 0.000 4.471 0.000 -0.185 0.000 7.886" Properties=species:S:1:pos:R:3 pbc="T T T"
Zr 0.000 0.000 0.000
Zr -0.003 2.235 3.695
Zr 3.195 0.000 7.786
Cu 0.936 2.235 6.453
Cu 1.514 0.000 2.538
Cu 5.143 2.235 1.113
Cu 5.549 0.000 5.175
Pb 1.830 2.235 1.218
Pb 1.802 0.000 5.135
Pb 4.649 0.000 2.640
Pb 4.598 2.235 6.236
```

Results
Total moment ... 0.00 μB per cell

=====

(Q)
Computed, not measured: a geometry-optimized Zr3Cu4Pb4 structure at the PBE level of DFT.

Geometry as extended XYZ:
```
11
Lattice="-3.135 3.135 6.311 3.135 -3.135 6.311 3.135 3.135 -6.311" Properties=species:S:1:pos:R:3 pbc="T T T"
Zr 0.000 0.000 0.000
Zr 3.135 0.000 3.156
Zr 0.000 3.135 3.156
Cu 1.565 -1.565 4.738
Cu 1.570 1.570 1.573
Cu -1.565 1.565 4.738
Cu 1.565 1.565 7.885
Pb 3.135 0.000 0.000
Pb 0.000 0.000 3.195
Pb 0.000 3.135 0.000
Pb 0.000 0.000 9.428
```

Results
Total moment ... 0.00 μB per cell

=====

Taking the most stable structure as the zero point, the relative energies in meV per atom are (P) 7; (Q) 0.

=====

(P)
Computed, not measured: a geometry-optimized ZrCuPb2 structure at the PBE level of DFT.

Geometry as extended XYZ:
```
8
Lattice="4.375 0.000 0.000 0.000 4.375 0.000 0.000 0.000 9.246" Properties=species:S:1:pos:R:3 pbc="T T T"
Zr 1.094 1.094 2.139
Zr 3.281 3.281 7.106
Cu 1.094 3.281 0.000
Cu 3.281 1.094 0.000
Pb 1.094 1.094 7.584
Pb 1.094 3.281 4.623
Pb 3.281 1.094 4.623
Pb 3.281 3.281 1.661
```

Results
Total moment ... 0.00 μB per cell

=====

(Q)
Computed, not measured: a geometry-optimized ZrCuPb2 structure at the PBE level of DFT.

Geometry as extended XYZ:
```
4
Lattice="0.000 3.620 3.620 3.620 0.000 3.620 3.620 3.620 0.000" Properties=species:S:1:pos:R:3 pbc="T T T"
Zr 0.000 0.000 0.000
Cu 1.810 1.810 1.810
Pb 3.620 3.620 3.620
Pb 5.431 5.431 5.431
```

Results
Total moment ... 0.01 μB per cell

=====

Taking the most stable structure as the zero point, the relative energies in meV per atom are (P) 0; (Q) 397.

=====

(P)
Computed, not measured: a geometry-optimized PrCuPd structure at the PBE level of DFT.

Geometry as extended XYZ:
```
3
Lattice="0.000 3.286 3.286 3.286 0.000 3.286 3.286 3.286 0.000" Properties=species:S:1:pos:R:3 pbc="T T T"
Pr 0.000 0.000 0.000
Cu 3.286 3.286 3.286
Pd 4.928 4.928 4.928
```

Results
Total moment ... 0.00 μB per cell

=====

(Q)
Computed, not measured: a geometry-optimized PrCuPd structure at the PBE level of DFT.

Geometry as extended XYZ:
```
3
Lattice="0.000 3.368 3.368 3.368 0.000 3.368 3.368 3.368 0.000" Properties=species:S:1:pos:R:3 pbc="T T T"
Pr 0.000 0.000 0.000
Cu 5.052 5.052 5.052
Pd 1.684 1.684 1.684
```

Results
Total moment ... 0.00 μB per cell

=====

Taking the most stable structure as the zero point, the relative energies in meV per atom are (P) 0; (Q) 398.

=====

(P)
Computed, not measured: a geometry-optimized PrCuSn2Pd structure at the PBE level of DFT.

Geometry as extended XYZ:
```
10
Lattice="4.544 0.000 0.000 0.000 4.544 0.000 0.000 0.000 10.688" Properties=species:S:1:pos:R:3 pbc="T T T"
Pr 1.136 1.136 2.594
Pr 3.408 3.408 8.093
Cu 1.136 1.136 6.745
Cu 3.408 3.408 3.943
Sn 1.136 1.136 9.277
Sn 1.136 3.408 5.344
Sn 3.408 1.136 5.344
Sn 3.408 3.408 1.410
Pd 1.136 3.408 0.000
Pd 3.408 1.136 0.000
```

Results
Total moment ... 0.00 μB per cell

=====

(Q)
Computed, not measured: a geometry-optimized PrCuSn2Pd structure at the PBE level of DFT.

Geometry as extended XYZ:
```
10
Lattice="4.554 0.000 0.000 0.000 4.492 0.000 -0.230 0.000 10.798" Properties=species:S:1:pos:R:3 pbc="T T T"
Pr 1.017 1.123 2.586
Pr 3.306 3.369 8.212
Cu 0.890 3.369 0.006
Cu 3.434 1.123 10.793
Sn 1.028 3.369 5.384
Sn 1.133 1.123 9.487
Sn 3.191 3.369 1.311
Sn 3.296 1.123 5.414
Pd 1.013 1.123 6.857
Pd 3.310 3.369 3.941
```

Results
Total moment ... 0.01 μB per cell

=====

Taking the most stable structure as the zero point, the relative energies in meV per atom are (P) 14; (Q) 0.